Crystalline SrTcPb2C at its relaxed geometry, computed with GGA-PBE.

CIF file:
```
data_SrTcPb2C
_space_group_name_H-M_alt 'P 4/m m m'
_space_group_IT_number 123
_space_group_name_Hall '-P 4 2'
_cell_length_a 4.923
_cell_length_b 4.923
_cell_length_c 5.098
_cell_angle_alpha 90.00
_cell_angle_beta 90.00
_cell_angle_gamma 90.00
loop_
_atom_site_label
_atom_site_type_symbol
_atom_site_fract_x
_atom_site_fract_y
_atom_site_fract_z
Sr1 Sr 0.000 0.000 0.000
Tc1 Tc 0.500 0.500 0.000
Pb1 Pb 0.000 0.500 0.500
C1 C 0.000 0.000 0.500
```

D(E_F): 1.174 states/eV per atom
Energy: -22.66 eV/cell
Formation enthalpy at 0 K: 27.8 kcal/mol of atoms